Computed, not measured: a crystal of RbZr12Te16 relaxed with PBEsol at the SCAN level of DFT.

Cell and atoms, written as POSCAR:
```
RbZr12Te16
1.0
-4.723 9.513 -2.974
-5.129 -6.728 7.076
6.968 7.169 11.866
Rb Zr Te
2 24 32
Direct
0.000 0.000 0.721
0.000 0.000 0.279
0.876 0.510 0.250
0.875 0.510 0.000
0.876 0.510 0.750
0.875 0.509 0.500
0.490 0.366 0.250
0.491 0.367 0.500
0.490 0.365 0.000
0.490 0.366 0.750
0.634 0.124 0.250
0.633 0.125 0.500
0.635 0.125 0.000
0.634 0.124 0.750
0.368 0.876 0.125
0.368 0.876 0.875
0.368 0.876 0.625
0.368 0.876 0.375
0.507 0.632 0.125
0.507 0.632 0.875
0.508 0.632 0.625
0.508 0.632 0.375
0.124 0.493 0.125
0.124 0.493 0.875
0.124 0.492 0.625
0.124 0.492 0.375
0.710 0.653 0.250
0.711 0.654 0.000
0.710 0.653 0.750
0.712 0.655 0.500
0.943 0.290 0.250
0.943 0.289 0.000
0.943 0.290 0.750
0.943 0.288 0.500
0.667 0.333 0.125
0.667 0.333 0.625
0.667 0.333 0.875
0.667 0.333 0.375
0.656 0.943 0.125
0.656 0.943 0.875
0.656 0.943 0.624
0.656 0.943 0.376
0.347 0.057 0.250
0.347 0.057 0.750
0.346 0.057 0.000
0.345 0.057 0.500
0.333 0.667 0.000
0.333 0.667 0.250
0.333 0.667 0.500
0.333 0.667 0.750
0.057 0.714 0.125
0.057 0.714 0.875
0.057 0.713 0.624
0.057 0.713 0.376
0.286 0.344 0.125
0.286 0.344 0.875
0.287 0.344 0.624
0.287 0.344 0.376
```

Results
Formation energy (no corrections) in eV/f.u.: -30.3
Final energy in eV per cell: -2031.0
Magnetization in Bohr magnetons per cell: 0.0
Space-group type: P-6 (174)